[1]
BeZnH2S (PBE, optimized geometry); SG = R3m, No. 160; total magnetization = 0.000 μB/cell; relative energy among the computed polymorphs = 0.0109 eV/atom; theoretical density = 3.0 g cm⁻³; calculated volume = 12.14 Å³/atom; final energy = -0.1256 Ha/atom
1.0
1.681 0.971 6.198
-1.681 0.971 6.198
0.000 -1.942 6.198
Be Zn H S
1 1 2 1
Cartesian
0.000 0.000 0.000
0.000 0.000 15.462
0.000 0.000 9.281
0.000 0.000 17.129
0.000 0.000 13.082

---

[2]
BeZnH2S (PBE, optimized geometry); DOS(E_F) = 0.17 states/eV/cell; SG = P1, No. 1; total magnetization = 0.000 μB/cell; relative energy among the computed polymorphs = 0.2161 eV/atom; theoretical density = 3.0 g cm⁻³; calculated volume = 12.08 Å³/atom; final energy = -0.1181 Ha/atom
1.0
2.507 0.000 0.000
-0.311 3.366 0.000
-1.133 -0.518 7.156
Be Zn H S
1 1 2 1
Cartesian
0.000 0.000 0.000
1.288 1.152 3.409
-0.046 -0.198 3.245
1.253 -0.003 0.838
1.216 1.167 5.951

---

[3]
BeZnH2S (PBE, optimized geometry); DOS(E_F) = 0.00 states/eV/cell; SG = P1, No. 1; total magnetization = 0.000 μB/cell; relative energy among the computed polymorphs = 0.1198 eV/atom; theoretical density = 2.0 g cm⁻³; calculated volume = 17.61 Å³/atom; final energy = -0.1216 Ha/atom
1.0
3.404 0.000 0.000
1.639 2.986 0.000
1.362 1.002 8.665
Be Zn H S
1 1 2 1
Cartesian
0.000 0.000 0.000
2.469 1.444 4.257
1.533 0.889 3.150
3.398 1.993 5.372
4.710 2.984 8.662

---

[4]
BeZnH2S (PBE, optimized geometry); DOS(E_F) = 0.00 states/eV/cell; SG = Cm, No. 8; total magnetization = 0.000 μB/cell; relative energy among the computed polymorphs = 0.0637 eV/atom; theoretical density = 2.5 g cm⁻³; calculated volume = 14.60 Å³/atom; final energy = -0.1237 Ha/atom
1.0
5.671 -1.640 0.000
5.671 1.640 0.000
-0.955 0.000 3.926
Be Zn H S
1 1 2 1
Cartesian
0.000 0.000 0.000
2.562 0.000 1.167
0.446 0.000 3.744
7.931 0.000 1.645
3.633 0.000 3.885